Computed, not measured: a geometry-optimized La8Nd3 structure at the PBE-GGA level of DFT.

Computed properties:
crystal system	trigonal

Cell lengths 7.4152, 7.4152, 7.4152 Å; angles 84.97, 84.97, 84.97 degrees
Closest atoms and distances in Å follow each position.
Positions (direct):
La  0.8915  0.3115  0.1463  2 Nd 3.27-3.34
La  0.3115  0.1463  0.8915  2 Nd 3.27-3.34
La  0.1463  0.8915  0.3115  2 Nd 3.27-3.34
La  0.3848  0.3848  0.3848  3 Nd 2.98, 1 La 3.21
La  0.6152  0.6152  0.6152  3 Nd 2.98, 1 La 3.21
La  0.8537  0.1085  0.6885  2 Nd 3.27-3.34
La  0.6885  0.8537  0.1085  2 Nd 3.27-3.34
La  0.1085  0.6885  0.8537  2 Nd 3.27-3.34
Nd  0.5000  0.0000  0.5000  4 La 2.98-3.27
Nd  0.0000  0.5000  0.5000  4 La 2.98-3.27
Nd  0.5000  0.5000  0.0000  4 La 2.98-3.27

=====

Computed, not measured: a geometry-optimized HfAgAs2 structure at the PBE-GGA level of DFT.

Computed properties:
crystal system	tetragonal

Cell lengths 6.5563, 6.5563, 6.6590 Å; angles 60.51, 60.51, 90.00 degrees
Closest atoms and distances in Å follow each position.
Positions (direct):
As  0.6256  0.1250  0.2500  2 Hf 2.61, 2 Ag 2.61
As  0.1244  0.6250  0.2500  2 Hf 2.61, 2 Ag 2.61
As  0.3750  0.3744  0.7500  2 Hf 2.61, 2 Ag 2.61
As  0.8750  0.8756  0.7500  2 Hf 2.61, 2 Ag 2.61
Hf  0.0000  0.0000  0.0000  4 As 2.61
Hf  0.7500  0.2500  0.5000  4 As 2.61
Ag  0.5000  0.5000  0.0000  4 As 2.61
Ag  0.2500  0.7500  0.5000  4 As 2.61

=====

Size of the total moment / μB per formula unit: 0.00 0.00
Ρ / g/cm3: 6.4 7.1
ΔE_f / eV/atom: 0.3564 -0.0245